Record 1
Below is a geometry-optimized CsNaSeBr2 structure, with properties calculated at the GGA-PBEsol level.

Calculated values
Formation energy (no corrections), eV/atom: -0.77
Energy, eV for the cell shown: -13.80

Lattice parameters (Å, degrees): 5.420 5.618 5.618 90.00 90.00 90.00
Site moments in Bohr magnetons follow the coordinates.
Atoms (fractional coordinates):
1 Se 0.500 0.000 0.000  0.89
2 Cs 0.500 0.500 0.500  0.01
3 Br 0.000 0.500 0.000  0.20
4 Br 0.000 0.000 0.500  0.20
5 Na 0.000 0.000 0.000  0.00

***

Record 2
Below is a geometry-optimized Cs2NaTlBr6 structure, with properties calculated at the GGA-PBEsol level.

Calculated values
Formation energy (no corrections), eV/atom: -1.23
Energy, eV for the cell shown: -29.48

Lattice parameters (Å, degrees): 7.900 7.900 7.900 60.00 60.00 60.00
Atoms (fractional coordinates):
1 Br 0.255 0.745 0.745
2 Br 0.255 0.255 0.745
3 Br 0.255 0.745 0.255
4 Br 0.745 0.745 0.255
5 Br 0.745 0.255 0.745
6 Br 0.745 0.255 0.255
7 Cs 0.750 0.750 0.750
8 Cs 0.250 0.250 0.250
9 Na 0.000 0.000 0.000
10 Tl 0.500 0.500 0.500

***

Record 3
Below is a geometry-optimized Cs2NbBr structure, with properties calculated at the GGA-PBEsol level.

Calculated values
Formation energy (no corrections), eV/atom: 0.57
Energy, eV for the cell shown: -12.30

Lattice parameters (Å, degrees): 6.115 6.115 6.115 60.00 60.00 60.00
Site moments in Bohr magnetons follow the coordinates.
Atoms (fractional coordinates):
1 Br 0.000 0.000 0.000  0.05
2 Cs 0.750 0.750 0.750  0.09
3 Cs 0.250 0.250 0.250  0.09
4 Nb 0.500 0.500 0.500  3.50

***

- Among the records above, which one has the highest energy?
  Cs2NbBr

***

- energy of number 1 (CsNaSeBr2)?
  -13.80 eV for the cell shown

***

- Which value of formation energy (no corrections) does entry 3 give?
  0.57 eV/atom